SiMoOs2 | PBE | optimized geometry

a = 4.3313 Å, b = 4.3313 Å, c = 4.3313 Å
α = 60.00°, β = 60.00°, γ = 60.00°
Closest atoms and distances in Å follow each position.
Sites, in units of the cell vectors:
Os 0.7500 0.7500 0.7500  4 Os 2.65, 4 Si 2.65
Os 0.0000 0.0000 0.0000  4 Os 2.65, 4 Mo 2.65
Si 0.5000 0.5000 0.5000  4 Os 2.65, 4 Mo 2.65
Mo 0.2500 0.2500 0.2500  4 Os 2.65, 4 Si 2.65

Computed properties:
* calculated total energy: -9.480 eV per atom
* total moment: 0.00 μB/atom